Material: MoPRhO2
Method: DFT, GGA+U
State: relaxed

Summary:
- E (eV/atom) = -5.8837

a = 3.7984 Å, b = 3.7984 Å, c = 5.3096 Å
α = 90.00°, β = 90.00°, γ = 90.00°
Last column: nearest neighbours and their distance in Å.
Space group P4/mmm (No. 123)
Unique sites:
Mo (0.0000, 0.0000, 0.0000)  4 P 2.69
P (0.5000, 0.5000, 0.0000)  2 Rh 2.65, 4 Mo 2.69
Rh (0.5000, 0.5000, 0.5000)  4 O 1.90
O (0.0000, 0.5000, 0.5000)  2 Rh 1.90